Entry 1:
5
Lattice="-0.0044 -0.6380 3.8723 2.7865 -6.1082 -1.0032 4.1067 5.3326 0.8833" Properties=species:S:1:pos:R:3 comment="La3RuPb | Alexandria via LeMat-Bulk | PBE-GGA | optimized geometry" magnetic_moment_mub_per_cell=0.00 de_polymorph_mev_per_atom=203 rho_g_cm3=7.6 formation_energy_ev_per_atom=-0.24 pbc="T T T"
La 3.2129 -2.4135 -0.3940
La 5.1754 0.0541 2.0036
La 1.9312 0.4192 2.0600
Ru 2.8435 -5.6143 -0.9218
Pb 3.8944 3.1934 2.5193



Entry 2:
4
Lattice="4.3285 0.0000 0.0000 0.0000 4.7917 0.0035 0.0000 2.3930 5.5553" Properties=species:S:1:pos:R:3 comment="La2RuPb | Alexandria via LeMat-Bulk | PBE-GGA | optimized geometry" magnetic_moment_mub_per_cell=0.00 rho_g_cm3=8.4 formation_energy_ev_per_atom=-0.38 pbc="T T T"
La 0.0000 6.8837 4.9752
La 2.1643 2.0942 1.5110
Pb 0.0000 4.4900 2.7082
Ru 2.1643 4.4938 4.7025



Entry 3:
19
Lattice="8.8071 0.4662 0.5585 -0.8743 8.7760 0.5585 -0.8743 -1.0187 8.7346" Properties=species:S:1:pos:R:3 comment="La12RuPb6 | Alexandria via LeMat-Bulk | PBE-GGA | optimized geometry" magnetic_moment_mub_per_cell=0.00 rho_g_cm3=7.3 formation_energy_ev_per_atom=-0.40 pbc="T T T"
La -0.4386 1.7535 8.5961
La 4.2989 1.5366 4.0770
La 1.7997 8.4877 1.3711
La 5.2587 -0.2641 8.4805
La -1.0583 7.4223 6.5903
La 7.4970 6.4701 1.2556
La 6.1913 5.0131 4.7130
La 8.1167 0.8012 3.2613
La 2.7595 6.6869 5.7746
La 4.0165 3.4078 7.6112
La 3.0419 4.8158 2.2404
La 0.8671 3.2105 5.1386
Pb 6.7709 2.0276 6.2178
Pb 0.2876 6.1959 3.6338
Pb 4.6624 7.5651 3.1061
Pb 6.0807 3.3567 1.8532
Pb 2.3960 0.6584 6.7456
Pb 0.9777 4.8669 7.9984
Ru 0.0000 0.0000 0.0000



Entry 4:
20
Lattice="11.6604 0.0000 0.6307 4.6840 6.0015 -4.1098 -4.6840 6.0015 4.1098" Properties=species:S:1:pos:R:3 comment="La3RuPb | Alexandria via LeMat-Bulk | PBE-GGA | optimized geometry" magnetic_moment_mub_per_cell=0.00 de_polymorph_mev_per_atom=129 rho_g_cm3=7.9 formation_energy_ev_per_atom=-0.32 pbc="T T T"
Pb 11.0873 4.0830 -1.5819
Pb 6.4033 4.2679 2.5279
Pb 0.5731 7.9200 2.2126
Pb 5.2571 7.7351 -1.8972
La -0.9904 4.8389 1.2965
La 3.7506 8.0518 1.0328
La 2.0797 2.0503 -0.7175
La 7.3318 7.1436 0.8480
La 9.5808 9.9528 1.3482
La 2.1366 4.8389 3.1286
La 10.1588 1.1421 0.0980
La 12.6508 7.1641 -0.6658
La 7.9099 3.9513 -0.4021
La 9.5239 7.1641 -2.4979
La 1.5016 10.8609 0.5327
La 4.3286 4.8594 -0.2173
Ru 1.8555 4.8506 -0.1025
Ru 3.9748 10.8522 0.4179
Ru 7.6857 1.1509 0.2128
Ru 9.8050 7.1524 0.7332